(1)
This record from Alexandria via LeMat-Bulk describes a crystal of ZrPS2N relaxed with PBEsol. The functional is meta-GGA SCAN.

```
data_ZrPS2N
_space_group_name_H-M_alt 'P 4/m m m'
_space_group_IT_number 123
_space_group_name_Hall '-P 4 2'
_cell_length_a 5.0092
_cell_length_b 5.0092
_cell_length_c 3.8535
_cell_angle_alpha 90.00
_cell_angle_beta 90.00
_cell_angle_gamma 90.00
loop_
_atom_site_label
_atom_site_fract_x
_atom_site_fract_y
_atom_site_fract_z
Zr1 0.0000 0.0000 0.0000
P1 0.5000 0.5000 0.5000
S1 0.0000 0.5000 0.0000
N1 0.0000 0.0000 0.5000
```

Calculated values
* ΔE_f (raw): 0.336 eV per atom
* mass density: 3.4 g/cm3
* energy: -13.59 eV/atom
* energy above the lowest structure with this stoichiometry: 10.74 kcal/mol of atoms

(2)
This record from Alexandria via LeMat-Bulk describes a crystal of SbTe2PN relaxed with PBEsol. The functional is meta-GGA SCAN.

```
data_SbTe2PN
_space_group_name_H-M_alt 'P 4/m m m'
_space_group_IT_number 123
_space_group_name_Hall '-P 4 2'
_cell_length_a 5.7784
_cell_length_b 5.7784
_cell_length_c 3.2426
_cell_angle_alpha 90.00
_cell_angle_beta 90.00
_cell_angle_gamma 90.00
loop_
_atom_site_label
_atom_site_fract_x
_atom_site_fract_y
_atom_site_fract_z
Sb1 0.0000 0.0000 0.0000
Te1 0.0000 0.5000 0.5000
P1 0.5000 0.5000 0.5000
N1 0.5000 0.5000 0.0000
```

Calculated values
* ΔE_f (raw): 0.489 eV per atom
* mass density: 6.5 g/cm3
* energy: -25.80 eV/atom

(3)
This record from Alexandria via LeMat-Bulk describes a crystal of SbTePN2 relaxed with PBEsol. The functional is meta-GGA SCAN.

```
data_SbTePN2
_space_group_name_H-M_alt 'P 4/m m m'
_space_group_IT_number 123
_space_group_name_Hall '-P 4 2'
_cell_length_a 3.9163
_cell_length_b 3.9163
_cell_length_c 5.0524
_cell_angle_alpha 90.00
_cell_angle_beta 90.00
_cell_angle_gamma 90.00
loop_
_atom_site_label
_atom_site_fract_x
_atom_site_fract_y
_atom_site_fract_z
Sb1 0.0000 0.0000 0.0000
Te1 0.5000 0.5000 0.0000
P1 0.5000 0.5000 0.5000
N1 0.0000 0.5000 0.5000
```

Calculated values
* ΔE_f (raw): 1.345 eV per atom
* mass density: 6.6 g/cm3
* energy: -19.35 eV/atom
* energy above the lowest structure with this stoichiometry: 0.00 kcal/mol of atoms

(4)
This record from Alexandria via LeMat-Bulk describes a crystal of SbTePN2 relaxed with PBEsol. The functional is meta-GGA SCAN.

```
data_SbTePN2
_space_group_name_H-M_alt 'P 4/m m m'
_space_group_IT_number 123
_space_group_name_Hall '-P 4 2'
_cell_length_a 3.9508
_cell_length_b 3.9508
_cell_length_c 6.4435
_cell_angle_alpha 90.00
_cell_angle_beta 90.00
_cell_angle_gamma 90.00
loop_
_atom_site_label
_atom_site_fract_x
_atom_site_fract_y
_atom_site_fract_z
Sb1 0.0000 0.0000 0.0000
Te1 0.0000 0.0000 0.5000
P1 0.5000 0.5000 0.5000
N1 0.0000 0.5000 0.0000
```

Calculated values
* ΔE_f (raw): 1.408 eV per atom
* mass density: 5.1 g/cm3
* energy: -19.29 eV/atom
* energy above the lowest structure with this stoichiometry: 1.45 kcal/mol of atoms

(5)
This record from Alexandria via LeMat-Bulk describes a crystal of ScPSeN2 relaxed with PBEsol. The functional is meta-GGA SCAN.

```
data_ScPSeN2
_space_group_name_H-M_alt 'P 4/m m m'
_space_group_IT_number 123
_space_group_name_Hall '-P 4 2'
_cell_length_a 3.9635
_cell_length_b 3.9635
_cell_length_c 5.4063
_cell_angle_alpha 90.00
_cell_angle_beta 90.00
_cell_angle_gamma 90.00
loop_
_atom_site_label
_atom_site_fract_x
_atom_site_fract_y
_atom_site_fract_z
Sc1 0.0000 0.0000 0.0000
P1 0.5000 0.5000 0.5000
Se1 0.0000 0.0000 0.5000
N1 0.0000 0.5000 0.0000
```

Calculated values
* ΔE_f (raw): 0.897 eV per atom
* mass density: 3.6 g/cm3
* energy: -11.76 eV/atom

(6)
This record from Alexandria via LeMat-Bulk describes a crystal of PSe2N relaxed with PBEsol. The functional is meta-GGA SCAN.

```
data_PSe2N
_space_group_name_H-M_alt 'R -3 m'
_space_group_IT_number 166
_space_group_name_Hall '-R 3 2"'
_cell_length_a 3.5945
_cell_length_b 3.5945
_cell_length_c 20.5367
_cell_angle_alpha 90.00
_cell_angle_beta 90.00
_cell_angle_gamma 120.00
loop_
_atom_site_label
_atom_site_fract_x
_atom_site_fract_y
_atom_site_fract_z
P1 0.0000 0.0000 0.0000
Se1 0.0000 0.0000 0.4141
N1 0.0000 0.0000 0.5000
```

Calculated values
* ΔE_f (raw): 0.937 eV per atom
* mass density: 4.4 g/cm3
* energy: -14.02 eV/atom